[1]
Ta3Tc: relaxed, PBE.

```
Ta3Tc
1.0
4.520 2.610 0.971
-4.520 2.610 0.971
0.000 -5.219 0.971
Ta Tc
3 1
direct
0.000 0.500 0.500 Ta
0.500 0.000 0.500 Ta
0.500 0.500 0.000 Ta
0.000 0.000 0.000 Tc
```

Summary:
energy of formation from the pure elements: -61 kJ/mol of formula units
offset from the most stable computed form: 0.48 eV per formula unit
SG: R-3m, No. 166
Fermi-level density of states: 1.12 states/eV/atom
mass density: 15.5 g cm⁻³

---

[2]
Y5Al4Au: relaxed, PBE.

```
Y5Al4Au
1.0
3.600 0.000 0.000
0.000 3.600 0.000
0.000 0.000 18.171
Y Al Au
5 4 1
direct
0.000 0.000 0.000 Y
0.000 0.000 0.199 Y
0.000 0.000 0.401 Y
0.000 0.000 0.599 Y
0.000 0.000 0.801 Y
0.500 0.500 0.099 Al
0.500 0.500 0.299 Al
0.500 0.500 0.701 Al
0.500 0.500 0.901 Al
0.500 0.500 0.500 Au
```

Summary:
energy of formation from the pure elements: -480 kJ/mol of formula units
SG: P4/mmm, No. 123
Fermi-level density of states: 0.61 states/eV/atom
mass density: 5.3 g cm⁻³

---

[3]
Y4Ho8Er3: relaxed, PBE.

```
Y4Ho8Er3
1.0
3.441 1.987 11.702
-3.441 1.987 11.702
0.000 -3.974 11.702
Y Ho Er
4 8 3
direct
0.000 0.000 0.000 Y
0.164 0.164 0.164 Y
0.500 0.500 0.500 Y
0.836 0.836 0.836 Y
0.250 0.250 0.747 Ho
0.250 0.747 0.250 Ho
0.253 0.750 0.750 Ho
0.256 0.256 0.256 Ho
0.744 0.744 0.744 Ho
0.747 0.250 0.250 Ho
0.750 0.253 0.750 Ho
0.750 0.750 0.253 Ho
0.000 0.500 0.500 Er
0.500 0.000 0.500 Er
0.500 0.500 0.000 Er
```

Summary:
energy of formation from the pure elements: 195 kJ/mol of formula units
offset from the most stable computed form: 0.00 eV per formula unit
SG: R-3m, No. 166
Fermi-level density of states: 1.56 states/eV/atom
mass density: 7.5 g cm⁻³

---

[4]
Li2SbOs2: relaxed, PBE.

```
Li2SbOs2
1.0
6.298 0.000 0.000
0.000 6.298 0.000
0.000 0.000 3.354
Li Sb Os
4 2 4
direct
0.114 0.386 0.000 Li
0.386 0.886 0.000 Li
0.614 0.114 0.000 Li
0.886 0.614 0.000 Li
0.000 0.000 0.000 Sb
0.500 0.500 0.000 Sb
0.183 0.683 0.500 Os
0.317 0.183 0.500 Os
0.683 0.817 0.500 Os
0.817 0.317 0.500 Os
```

Summary:
offset from the most stable computed form: 0.10 eV per formula unit
SG: P4/mbm, No. 127
Fermi-level density of states: 0.51 states/eV/atom
ΔE_f (raw): 48.0 kJ/mol of atoms
mass density: 12.9 g cm⁻³

---

[5]
TiFe2PtCl: relaxed, PBE.

```
TiFe2PtCl
1.0
4.585 0.000 0.000
0.000 4.585 0.000
0.000 0.000 4.713
Ti Fe Pt Cl
1 2 1 1
direct
0.000 0.000 0.000 Ti
0.000 0.500 0.000 Fe
0.500 0.000 0.000 Fe
0.000 0.000 0.500 Pt
0.500 0.500 0.500 Cl
```

Summary:
offset from the most stable computed form: 2.07 eV per formula unit
SG: P4/mmm, No. 123
Fermi-level density of states: 1.41 states/eV/atom
ΔE_f (raw): 106.8 kJ/mol of atoms
mass density: 6.5 g cm⁻³

---

[6]
Te2PdPtN: relaxed, PBE.

```
Te2PdPtN
1.0
5.538 0.000 0.000
0.000 5.538 0.000
0.000 0.000 3.631
Te Pd Pt N
2 1 1 1
direct
0.000 0.500 0.000 Te
0.500 0.000 0.000 Te
0.000 0.000 0.500 Pd
0.500 0.500 0.000 Pt
0.500 0.500 0.500 N
```

Summary:
offset from the most stable computed form: 0.00 eV per formula unit
SG: P4/mmm, No. 123
Fermi-level density of states: 0.39 states/eV/atom
ΔE_f (raw): 51.0 kJ/mol of atoms
mass density: 8.5 g cm⁻³

---

[7]
TaCd2InW: relaxed, PBE.

```
TaCd2InW
1.0
5.681 0.000 0.000
0.000 5.681 0.000
0.000 0.000 4.924
Ta Cd In W
1 2 1 1
direct
0.000 0.000 0.000 Ta
0.000 0.500 0.000 Cd
0.500 0.000 0.000 Cd
0.500 0.500 0.500 In
0.000 0.000 0.500 W
```

Summary:
energy of formation from the pure elements: 698 kJ/mol of formula units
SG: P4/mmm, No. 123
Fermi-level density of states: 0.91 states/eV/atom
mass density: 7.4 g cm⁻³

---

[8]
DyNpSN2: relaxed, PBE.

```
DyNpSN2
1.0
-1.880 1.880 5.967
1.880 -1.880 5.967
1.880 1.880 -5.967
Dy Np S N
1 1 1 2
direct
0.000 0.000 0.000 Dy
0.307 0.307 0.000 Np
0.650 0.650 0.000 S
0.392 0.892 0.500 N
0.892 0.392 0.500 N
```

Summary:
SG: I4mm, No. 107
Fermi-level density of states: 1.16 states/eV/atom
ΔE_f (raw): -134.1 kJ/mol of atoms
mass density: 9.0 g cm⁻³